{"formula": "NpCrIrO6", "functional": "GGA+U", "state": "optimized geometry", "cell": [[-1.884, -3.449, -3.482], [4.717, -0.773, 2.173], [-3.737, -4.524, 6.503]], "species": ["Np", "Np", "Cr", "Cr", "Ir", "Ir", "O", "O", "O", "O", "O", "O", "O", "O", "O", "O", "O", "O"], "fractional_positions": [[0.667, 0.333, 0.250], [0.333, 0.667, 0.750], [0.333, 0.667, 0.250], [0.667, 0.333, 0.750], [0.000, 0.000, 0.000], [0.000, 0.000, 0.500], [0.665, 0.675, 0.126], [0.010, 0.335, 0.126], [0.335, 0.010, 0.626], [0.990, 0.665, 0.874], [0.325, 0.335, 0.374], [0.010, 0.675, 0.374], [0.675, 0.010, 0.874], [0.665, 0.990, 0.374], [0.990, 0.325, 0.626], [0.325, 0.990, 0.126], [0.675, 0.665, 0.626], [0.335, 0.325, 0.874]], "total_magnetization_mub_per_cell": 7.959, "e_tot_ev_per_atom": -8.398, "space_group": "No. 163", "volume_a3_per_cell": 209}